A relaxed structure of Rb3Tb3CrO8, computed with GGA+U.

Geometry as POSCAR:
```
Rb3Tb3CrO8
1.0
6.7508 0.0000 0.0000
-3.3754 5.9107 -0.0030
0.0000 -3.8997 6.6013
O Tb Cr Rb
8 3 1 3
Cartesian
1.4771 -1.0925 2.2467
0.0000 2.0012 2.1509
5.2737 -1.0925 2.2467
1.8983 3.1036 4.3516
3.3754 2.1486 2.2107
3.3754 0.0098 4.4474
0.0000 -0.1376 4.3875
-1.8983 3.1036 4.3516
-1.6877 1.0055 3.2991
3.3754 -1.9498 3.3007
1.6877 1.0055 3.2991
0.0000 -1.9498 3.3007
1.6877 2.9554 -0.0015
-1.6877 2.9554 -0.0015
0.0000 0.0000 0.0000
```

Calculated values
**Energy**: -6.71 eV per atom
**Space-group type**: C2/m, No. 12